# 1
# CrCu2W

An optimized crystal structure of CrCu2W (GGA-PBE, the Alexandria database).

Properties
Energy above the most stable polymorph in this dataset ... 289 meV per atom
Symmetry ... P4/mmm, No. 123
Total DFT energy (no corrections) ... -0.2630 Ha/atom
ΔE_f ... 12.3 kcal/mol of atoms

a b c (Å): 4.3273 4.3273 2.9364
angles (deg): 90.00 90.00 90.00
Closest atoms and distances in Å follow each position.
Positions (direct):
Cr 0.0000 0.5000 0.5000  8 Cu 2.61
W 0.5000 0.0000 0.5000  8 Cu 2.61
Cu 0.0000 0.0000 0.0000  4 Cr 2.61, 4 W 2.61
Cu 0.5000 0.5000 0.0000  4 W 2.61, 4 Cr 2.61

=====

# 2
# CrSbTe3

An optimized crystal structure of CrSbTe3 (GGA-PBE, the Alexandria database).

Properties
Energy above the most stable polymorph in this dataset ... 0 meV per atom
Symmetry ... Pm-3m, No. 221
Total DFT energy (no corrections) ... -0.1540 Ha/atom
Formation energy without anion corrections ... 0.444 eV/atom

a b c (Å): 5.0853 5.0853 5.0853
angles (deg): 90.00 90.00 90.00
Closest atoms and distances in Å follow each position.
Positions (direct):
Sb 0.5000 0.5000 0.5000  12 Te 3.60
Te 0.0000 0.0000 0.5000  2 Cr 2.54
Te 0.0000 0.5000 0.0000  2 Cr 2.54
Te 0.5000 0.0000 0.0000  2 Cr 2.54
Cr 0.0000 0.0000 0.0000  6 Te 2.54

=====

# 3
# Ac2TbIr

An optimized crystal structure of Ac2TbIr (GGA-PBE, the Alexandria database).

Properties
Symmetry ... R-3m, No. 166
Total DFT energy (no corrections) ... -0.2012 Ha/atom
ΔE_f ... -1.1 kcal/mol of atoms

a b c (Å): 4.0952 4.0952 11.2198
angles (deg): 79.48 79.48 60.00
Closest atoms and distances in Å follow each position.
Positions (direct):
Tb 0.0000 0.0000 0.0000  2 Ac 3.75, 6 Tb 4.10
Ac 0.1140 0.1140 0.6581  3 Ir 2.93
Ac 0.8860 0.8860 0.3419  3 Ir 2.93
Ir 0.5000 0.5000 0.5000  6 Ac 2.93